Record 1
A plane-wave DFT calculation with PBE was carried out for crystalline LaZrBPt2 at its relaxed geometry.

Computed properties:
ΔH_f (0 K) = -0.49 eV/atom
Space group = P4/mmm, No. 123
ρ = 11507 kg/m³

a b c (Å): 4.427 4.648 4.427
angles (deg): 90.00 90.00 90.00
Atoms (fractional coordinates):
Pt1 0.500 0.000 0.000
Pt2 0.000 0.000 0.500
B1 0.000 0.000 0.000
La1 0.500 0.500 0.500
Zr1 0.000 0.500 0.000

***

Record 2
A plane-wave DFT calculation with PBE was carried out for crystalline Ce2Pm3NdDy6 at its relaxed geometry.

Computed properties:
ΔH_f (0 K) = 0.05 eV/atom
Space group = C2/m, No. 12
ρ = 7879 kg/m³

a b c (Å): 6.204 6.204 11.781
angles (deg): 95.04 95.04 120.01
Atoms (fractional coordinates):
Dy1 0.917 0.581 0.753
Dy2 0.419 0.083 0.247
Dy3 0.581 0.917 0.753
Dy4 0.083 0.419 0.247
Dy5 0.747 0.747 0.247
Dy6 0.253 0.253 0.753
Pm1 0.166 0.834 0.500
Pm2 0.500 0.500 0.500
Pm3 0.834 0.166 0.500
Ce1 0.333 0.667 0.000
Ce2 0.667 0.333 0.000
Nd1 0.000 0.000 0.000

***

Record 3
A plane-wave DFT calculation with PBE was carried out for crystalline OsRuS2N at its relaxed geometry.

Computed properties:
Space group = P4/mmm, No. 123
E_form (uncorrected) = 1.25 eV/atom
ρ = 7736 kg/m³

a b c (Å): 4.714 4.714 3.568
angles (deg): 90.00 90.00 90.00
Atoms (fractional coordinates):
S1 0.500 0.000 0.000
S2 0.000 0.500 0.000
N1 0.000 0.000 0.500
Ru1 0.000 0.000 0.000
Os1 0.500 0.500 0.500

***

Record 4
A plane-wave DFT calculation with PBE was carried out for crystalline MgAg3Rh at its relaxed geometry.

Computed properties:
ΔH_f (0 K) = 0.80 eV/atom
Space group = Pm-3m, No. 221
ρ = 5922 kg/m³

a b c (Å): 5.019 5.019 5.019
angles (deg): 90.00 90.00 90.00
Atoms (fractional coordinates):
Mg1 0.500 0.500 0.500
Ag1 0.000 0.500 0.000
Ag2 0.500 0.000 0.000
Ag3 0.000 0.000 0.500
Rh1 0.000 0.000 0.000

***

Record 5
A plane-wave DFT calculation with PBE was carried out for crystalline NbAlIO2 at its relaxed geometry.

Computed properties:
Space group = P4/mmm, No. 123
E_form (uncorrected) = -0.44 eV/atom
ρ = 5597 kg/m³

a b c (Å): 3.852 3.852 5.575
angles (deg): 90.00 90.00 90.00
Atoms (fractional coordinates):
Nb1 0.500 0.500 0.500
O1 0.000 0.500 0.000
O2 0.500 0.000 0.000
Al1 0.000 0.000 0.000
I1 0.000 0.000 0.500

***

Record 6
A plane-wave DFT calculation with PBE was carried out for crystalline TaSiHg2 at its relaxed geometry.

Computed properties:
Space group = P2/m, No. 10
E_form (uncorrected) = 0.40 eV/atom
ρ = 13273 kg/m³

a b c (Å): 2.983 4.892 6.114
angles (deg): 58.86 90.00 90.00
Atoms (fractional coordinates):
Hg1 0.500 0.500 0.000
Hg2 0.000 0.000 0.000
Si1 0.500 0.500 0.500
Ta1 0.000 0.000 0.500

***

Record 7
A plane-wave DFT calculation with PBE was carried out for crystalline Sm3Si3Pt2 at its relaxed geometry.

Computed properties:
Space group = Cmcm, No. 63
E_form (uncorrected) = -1.05 eV/atom
ρ = 9294 kg/m³

a b c (Å): 4.327 5.707 14.472
angles (deg): 90.00 90.00 112.28
Atoms (fractional coordinates):
Pt1 0.192 0.384 0.101
Pt2 0.192 0.384 0.399
Pt3 0.808 0.616 0.899
Pt4 0.808 0.616 0.601
Si1 0.613 0.226 0.035
Si2 0.613 0.226 0.465
Si3 0.675 0.349 0.750
Si4 0.387 0.774 0.535
Si5 0.387 0.774 0.965
Si6 0.325 0.651 0.250
Sm1 0.095 0.190 0.611
Sm2 0.377 0.753 0.750
Sm3 0.905 0.810 0.111
Sm4 0.095 0.190 0.889
Sm5 0.905 0.810 0.389
Sm6 0.623 0.247 0.250

***

Record 8
A plane-wave DFT calculation with PBE was carried out for crystalline ScCoSb2 at its relaxed geometry.

Computed properties:
Space group = P4/mmm, No. 123
E_form (uncorrected) = -0.10 eV/atom
ρ = 7338 kg/m³

a b c (Å): 3.286 3.286 7.281
angles (deg): 90.00 90.00 90.00
Atoms (fractional coordinates):
Sb1 0.000 0.000 0.968
Sb2 0.000 0.000 0.532
Co1 0.500 0.500 0.750
Sc1 0.500 0.500 0.250

***

Record 9
A plane-wave DFT calculation with PBE was carried out for crystalline UReSe2 at its relaxed geometry.

Computed properties:
Space group = R-3m, No. 166
E_form (uncorrected) = 0.14 eV/atom
ρ = 12209 kg/m³

a b c (Å): 3.106 3.106 9.644
angles (deg): 80.73 80.73 60.00
Atoms (fractional coordinates):
Re1 0.500 0.500 0.500
U1 0.000 0.000 0.000
Se1 0.897 0.897 0.308
Se2 0.103 0.103 0.692

***

Record 10
A plane-wave DFT calculation with PBE was carried out for crystalline Hf3NiH at its relaxed geometry.

Computed properties:
Calculated total energy = -8.056 eV/atom
Space group = P-1, No. 2
ρ = 12265 kg/m³

a b c (Å): 5.570 5.489 7.074
angles (deg): 78.54 66.45 54.45
Atoms (fractional coordinates):
Hf1 0.493 0.099 0.681
Hf2 0.935 0.248 0.144
Hf3 0.841 0.388 0.656
Hf4 0.065 0.752 0.856
Hf5 0.507 0.901 0.319
Hf6 0.159 0.612 0.344
Ni1 0.502 0.257 0.999
Ni2 0.498 0.743 0.001
H1 0.756 0.030 0.370
H2 0.244 0.970 0.630

***

Record 11
A plane-wave DFT calculation with PBE was carried out for crystalline CaMn2Pb at its relaxed geometry.

Computed properties:
ΔH_f (0 K) = 0.35 eV/atom
Space group = P4/mmm, No. 123
ρ = 6733 kg/m³

a b c (Å): 4.524 4.524 4.304
angles (deg): 90.00 90.00 90.00
Atoms (fractional coordinates):
Mn1 0.000 0.000 0.000
Mn2 0.500 0.500 0.000
Ca1 0.000 0.500 0.500
Pb1 0.500 0.000 0.500

***

Record 12
A plane-wave DFT calculation with PBE was carried out for crystalline CaAc5Nd4 at its relaxed geometry.

Computed properties:
ΔH_f (0 K) = 0.03 eV/atom
Space group = P4/mmm, No. 123
ρ = 7156 kg/m³

a b c (Å): 3.896 3.896 26.790
angles (deg): 90.00 90.00 90.00
Atoms (fractional coordinates):
Ac1 0.500 0.500 0.893
Ac2 0.500 0.500 0.697
Ac3 0.500 0.500 0.500
Ac4 0.500 0.500 0.303
Ac5 0.500 0.500 0.107
Nd1 0.000 0.000 0.797
Nd2 0.000 0.000 0.599
Nd3 0.000 0.000 0.401
Nd4 0.000 0.000 0.203
Ca1 0.000 0.000 0.000

***

Record 13
A plane-wave DFT calculation with PBE was carried out for crystalline YSiIr at its relaxed geometry.

Computed properties:
Space group = Imm2, No. 44
E_form (uncorrected) = -0.64 eV/atom
ρ = 9476 kg/m³

a b c (Å): 5.826 5.826 5.826
angles (deg): 146.83 149.84 45.44
Atoms (fractional coordinates):
Si1 0.366 0.366 0.000
Ir1 0.968 0.968 0.000
Y1 0.666 0.666 0.000

***

Record 14
A plane-wave DFT calculation with PBE was carried out for crystalline PuMg2Ag3 at its relaxed geometry.

Computed properties:
ΔH_f (0 K) = -0.14 eV/atom
Space group = P4/mmm, No. 123
ρ = 8530 kg/m³

a b c (Å): 3.176 3.176 11.893
angles (deg): 90.00 90.00 90.00
Atoms (fractional coordinates):
Ag1 0.000 0.000 0.303
Ag2 0.000 0.000 0.697
Ag3 0.000 0.000 0.000
Mg1 0.500 0.500 0.154
Mg2 0.500 0.500 0.846
Pu1 0.500 0.500 0.500

***

Record 15
A plane-wave DFT calculation with PBE was carried out for crystalline TlP2SeS at its relaxed geometry.

Computed properties:
Space group = P4/mmm, No. 123
E_form (uncorrected) = 0.77 eV/atom
ρ = 5256 kg/m³

a b c (Å): 4.924 4.924 4.918
angles (deg): 90.00 90.00 90.00
Atoms (fractional coordinates):
P1 0.000 0.500 0.000
P2 0.500 0.000 0.000
Tl1 0.500 0.500 0.500
S1 0.000 0.000 0.500
Se1 0.000 0.000 0.000

***

Record 16
A plane-wave DFT calculation with PBE was carried out for crystalline Re2SiTc at its relaxed geometry.

Computed properties:
Space group = I-42d, No. 122
E_form (uncorrected) = 0.54 eV/atom
ρ = 13101 kg/m³

a b c (Å): 3.737 3.737 9.424
angles (deg): 78.56 78.56 90.00
Atoms (fractional coordinates):
Re1 0.375 0.413 0.750
Re2 0.875 0.837 0.750
Re3 0.587 0.125 0.250
Re4 0.163 0.625 0.250
Si1 0.500 0.500 0.000
Si2 0.250 0.750 0.500
Tc1 0.750 0.250 0.500
Tc2 0.000 0.000 0.000

***

Record 17
A plane-wave DFT calculation with PBE was carried out for crystalline Ca2ReSb at its relaxed geometry.

Computed properties:
Space group = Pmm2, No. 25
E_form (uncorrected) = 0.28 eV/atom
ρ = 6988 kg/m³

a b c (Å): 5.173 3.101 5.749
angles (deg): 89.99 90.00 90.00
Atoms (fractional coordinates):
Re1 0.000 0.625 0.487
Sb1 0.500 0.625 0.756
Ca1 0.000 0.125 0.966
Ca2 0.500 0.125 0.291

***

Record 18
A plane-wave DFT calculation with PBE was carried out for crystalline TbTh2Te3 at its relaxed geometry.

Computed properties:
Space group = C2/c, No. 15
E_form (uncorrected) = -1.11 eV/atom
ρ = 9029 kg/m³

a b c (Å): 6.284 8.478 7.911
angles (deg): 105.53 113.40 90.00
Atoms (fractional coordinates):
Tb1 0.997 0.750 0.000
Tb2 0.003 0.250 0.000
Th1 0.327 0.414 0.654
Th2 0.328 0.914 0.654
Th3 0.672 0.086 0.346
Th4 0.673 0.586 0.346
Te1 0.503 0.250 0.000
Te2 0.158 0.579 0.316
Te3 0.157 0.079 0.316
Te4 0.497 0.750 0.000
Te5 0.843 0.921 0.684
Te6 0.842 0.421 0.684

***

Record 19
A plane-wave DFT calculation with PBE was carried out for crystalline MgAl2Pb at its relaxed geometry.

Computed properties:
ΔH_f (0 K) = 0.15 eV/atom
Space group = I-4m2, No. 119
ρ = 5370 kg/m³

a b c (Å): 5.422 5.422 5.422
angles (deg): 131.21 131.21 71.48
Atoms (fractional coordinates):
Mg1 0.500 0.500 0.000
Pb1 0.750 0.250 0.500
Al1 0.250 0.750 0.500
Al2 0.000 0.000 0.000

***

Record 20
A plane-wave DFT calculation with PBE was carried out for crystalline SmAl11Pd at its relaxed geometry.

Computed properties:
ΔH_f (0 K) = -0.24 eV/atom
Space group = C2/m, No. 12
ρ = 4032 kg/m³

a b c (Å): 5.242 7.283 6.848
angles (deg): 82.74 67.50 70.73
Atoms (fractional coordinates):
Al1 0.006 0.356 0.646
Al2 0.283 0.225 0.218
Al3 0.994 0.644 0.354
Al4 0.502 0.225 0.782
Al5 0.000 0.000 0.500
Al6 0.348 0.644 0.646
Al7 0.498 0.775 0.218
Al8 0.717 0.775 0.782
Al9 0.000 0.500 0.000
Al10 0.500 0.000 0.500
Al11 0.652 0.356 0.354
Sm1 0.000 0.000 0.000
Pd1 0.500 0.500 0.000